(1)
CePrHo2In4 after structural relaxation, computed with PBE-GGA.

Computed properties:
DOS at the Fermi energy: 1.1272 states/eV/atom
ΔH_f (0 K): -3.5 eV/f.u.
Crystal system: trigonal
Magnetic moment: 0.93 μB per formula unit
Final energy: -34.289 eV/f.u.

a = 5.3936 Å, b = 5.3936 Å, c = 26.5013 Å
α = 90.00°, β = 90.00°, γ = 120.00°
Space group R-3m (No. 166, hexagonal axes)
One atom of each set of equivalent atoms:
Ce: 0.0000 0.0000 0.0000 (multiplicity 3)
Pr: 0.0000 0.0000 0.5000 (multiplicity 3)
Ho: 0.0000 0.0000 0.2501 (multiplicity 6)
In: 0.0000 0.0000 0.1247 (multiplicity 6)
In: 0.0000 0.0000 0.3747 (multiplicity 6)


(2)
CeHoInPt after structural relaxation, computed with PBE-GGA.

Computed properties:
DOS at the Fermi energy: 1.6187 states/eV/atom
ΔH_f (0 K): -2.5 eV/f.u.
Crystal system: cubic
Magnetic moment: 0.63 μB per formula unit
Final energy: -21.807 eV/f.u.

a = 7.3389 Å, b = 7.3389 Å, c = 7.3389 Å
α = 90.00°, β = 90.00°, γ = 90.00°
Space group F-43m (No. 216)
One atom of each set of equivalent atoms:
Ce: 0.0000 0.0000 0.0000 (multiplicity 4)
Ho: 0.0000 0.0000 0.5000 (multiplicity 4)
In: 0.2500 0.2500 0.7500 (multiplicity 4)
Pt: 0.2500 0.2500 0.2500 (multiplicity 4)


(3)
CeHoPuIn after structural relaxation, computed with PBE-GGA.

Computed properties:
DOS at the Fermi energy: 2.1389 states/eV/atom
ΔH_f (0 K): -0.2 eV/f.u.
Crystal system: cubic
Magnetic moment: 8.50 μB per formula unit
Final energy: -27.776 eV/f.u.

a = 7.5460 Å, b = 7.5460 Å, c = 7.5460 Å
α = 90.00°, β = 90.00°, γ = 90.00°
Space group F-43m (No. 216)
One atom of each set of equivalent atoms:
Ce: 0.0000 0.0000 0.0000 (multiplicity 4)
Ho: 0.2500 0.2500 0.7500 (multiplicity 4)
Pu: 0.2500 0.2500 0.2500 (multiplicity 4)
In: 0.0000 0.0000 0.5000 (multiplicity 4)


(4)
CeHoInRu after structural relaxation, computed with PBE-GGA.

Computed properties:
DOS at the Fermi energy: 0.9392 states/eV/atom
ΔH_f (0 K): -1.7 eV/f.u.
Crystal system: tetragonal
Magnetic moment: 0.45 μB per formula unit
Final energy: -24.267 eV/f.u.

a = 3.3635 Å, b = 3.3635 Å, c = 8.3668 Å
α = 90.00°, β = 90.00°, γ = 90.00°
Space group P4mm (No. 99)
One atom of each set of equivalent atoms:
Ce: 0.0000 0.0000 0.0000 (multiplicity 1)
Ho: 0.0000 0.0000 0.5883 (multiplicity 1)
In: 0.5000 0.5000 0.3011 (multiplicity 1)
Ru: 0.5000 0.5000 0.7926 (multiplicity 1)


(5)
CeHoInRu after structural relaxation, computed with PBE-GGA.

Computed properties:
DOS at the Fermi energy: 1.4979 states/eV/atom
ΔH_f (0 K): -1.0 eV/f.u.
Crystal system: cubic
Magnetic moment: 0.47 μB per formula unit
Final energy: -23.492 eV/f.u.

a = 7.2249 Å, b = 7.2249 Å, c = 7.2249 Å
α = 90.00°, β = 90.00°, γ = 90.00°
Space group F-43m (No. 216)
One atom of each set of equivalent atoms:
Ce: 0.0000 0.0000 0.0000 (multiplicity 4)
Ho: 0.0000 0.0000 0.5000 (multiplicity 4)
In: 0.2500 0.2500 0.2500 (multiplicity 4)
Ru: 0.2500 0.2500 0.7500 (multiplicity 4)


(6)
Ce2HoSc2In5 after structural relaxation, computed with PBE-GGA.

Computed properties:
DOS at the Fermi energy: 1.7177 states/eV/atom
ΔH_f (0 K): -3.3 eV/f.u.
Crystal system: tetragonal
Magnetic moment: 2.86 μB per formula unit
Final energy: -46.065 eV/f.u.

a = 10.5764 Å, b = 10.5764 Å, c = 4.6555 Å
α = 90.00°, β = 90.00°, γ = 90.00°
Space group P4/mbm (No. 127)
One atom of each set of equivalent atoms:
Ce: 0.1782 0.3218 0.0000 (multiplicity 4)
Ho: 0.0000 0.0000 0.0000 (multiplicity 2)
Sc: 0.1220 0.6220 0.0000 (multiplicity 4)
In: 0.0000 0.5000 0.5000 (multiplicity 2)
In: 0.0626 0.7978 0.5000 (multiplicity 8)


(7)
CeHoSc2In4 after structural relaxation, computed with PBE-GGA.

Computed properties:
DOS at the Fermi energy: 1.0983 states/eV/atom
ΔH_f (0 K): -3.1 eV/f.u.
Crystal system: trigonal
Magnetic moment: 0.93 μB per formula unit
Final energy: -37.277 eV/f.u.

a = 5.2104 Å, b = 5.2104 Å, c = 25.7038 Å
α = 90.00°, β = 90.00°, γ = 120.00°
Space group R-3m (No. 166, hexagonal axes)
One atom of each set of equivalent atoms:
Ce: 0.0000 0.0000 0.0000 (multiplicity 3)
Ho: 0.0000 0.0000 0.5000 (multiplicity 3)
Sc: 0.0000 0.0000 0.2497 (multiplicity 6)
In: 0.0000 0.0000 0.1266 (multiplicity 6)
In: 0.0000 0.0000 0.3769 (multiplicity 6)


(8)
CeSmHoIn after structural relaxation, computed with PBE-GGA.

Computed properties:
DOS at the Fermi energy: 1.4093 states/eV/atom
ΔH_f (0 K): -0.3 eV/f.u.
Crystal system: cubic
Magnetic moment: 0.00 μB per formula unit
Final energy: -18.281 eV/f.u.

a = 7.6726 Å, b = 7.6726 Å, c = 7.6726 Å
α = 90.00°, β = 90.00°, γ = 90.00°
Space group F-43m (No. 216)
One atom of each set of equivalent atoms:
Ce: 0.0000 0.0000 0.0000 (multiplicity 4)
Sm: 0.2500 0.2500 0.2500 (multiplicity 4)
Ho: 0.2500 0.2500 0.7500 (multiplicity 4)
In: 0.0000 0.0000 0.5000 (multiplicity 4)


(9)
Ce2SmHoIn4 after structural relaxation, computed with PBE-GGA.

Computed properties:
DOS at the Fermi energy: 1.9005 states/eV/atom
ΔH_f (0 K): -3.2 eV/f.u.
Crystal system: trigonal
Magnetic moment: 1.91 μB per formula unit
Final energy: -35.307 eV/f.u.

a = 5.4100 Å, b = 5.4100 Å, c = 26.5576 Å
α = 90.00°, β = 90.00°, γ = 120.00°
Space group R-3m (No. 166, hexagonal axes)
One atom of each set of equivalent atoms:
Ce: 0.0000 0.0000 0.2495 (multiplicity 6)
Sm: 0.0000 0.0000 0.0000 (multiplicity 3)
Ho: 0.0000 0.0000 0.5000 (multiplicity 3)
In: 0.0000 0.0000 0.1258 (multiplicity 6)
In: 0.0000 0.0000 0.3759 (multiplicity 6)


(10)
TbCeHoIn after structural relaxation, computed with PBE-GGA.

Computed properties:
DOS at the Fermi energy: 1.4520 states/eV/atom
ΔH_f (0 K): -0.3 eV/f.u.
Crystal system: cubic
Magnetic moment: 0.02 μB per formula unit
Final energy: -18.175 eV/f.u.

a = 7.6271 Å, b = 7.6271 Å, c = 7.6271 Å
α = 90.00°, β = 90.00°, γ = 90.00°
Space group F-43m (No. 216)
One atom of each set of equivalent atoms:
Tb: 0.0000 0.0000 0.0000 (multiplicity 4)
Ce: 0.2500 0.2500 0.2500 (multiplicity 4)
Ho: 0.0000 0.0000 0.5000 (multiplicity 4)
In: 0.2500 0.2500 0.7500 (multiplicity 4)


(11)
TbCeHo2In4 after structural relaxation, computed with PBE-GGA.

Computed properties:
DOS at the Fermi energy: 1.1120 states/eV/atom
ΔH_f (0 K): -3.4 eV/f.u.
Crystal system: trigonal
Magnetic moment: 0.94 μB per formula unit
Final energy: -34.099 eV/f.u.

a = 5.3422 Å, b = 5.3422 Å, c = 26.3276 Å
α = 90.00°, β = 90.00°, γ = 120.00°
Space group R-3m (No. 166, hexagonal axes)
One atom of each set of equivalent atoms:
Tb: 0.0000 0.0000 0.0000 (multiplicity 3)
Ce: 0.0000 0.0000 0.5000 (multiplicity 3)
Ho: 0.0000 0.0000 0.2503 (multiplicity 6)
In: 0.0000 0.0000 0.1238 (multiplicity 6)
In: 0.0000 0.0000 0.3739 (multiplicity 6)


(12)
CeHoInTc after structural relaxation, computed with PBE-GGA.

Computed properties:
DOS at the Fermi energy: 0.7764 states/eV/atom
ΔH_f (0 K): -0.4 eV/f.u.
Crystal system: cubic
Magnetic moment: 0.00 μB per formula unit
Final energy: -24.048 eV/f.u.

a = 7.2176 Å, b = 7.2176 Å, c = 7.2176 Å
α = 90.00°, β = 90.00°, γ = 90.00°
Space group F-43m (No. 216)
One atom of each set of equivalent atoms:
Ce: 0.0000 0.0000 0.0000 (multiplicity 4)
Ho: 0.0000 0.0000 0.5000 (multiplicity 4)
In: 0.2500 0.2500 0.2500 (multiplicity 4)
Tc: 0.2500 0.2500 0.7500 (multiplicity 4)


Which value of DOS at the Fermi energy does entry 5 give?
1.4979 states/eV/atom